# 1
CePrHgIr | GGA-PBE | optimized geometry

Unit cell a=5.2039 b=5.2039 c=5.2039 alpha=60.00 beta=60.00 gamma=60.00
With the nearest neighbours (Å) after each atom.
Sites, in units of the cell vectors:
Pr1 0.2500 0.2500 0.2500  4 Ir 3.19, 4 Hg 3.19
Ir1 0.5000 0.5000 0.5000  4 Ce 3.19, 4 Pr 3.19
Hg1 0.0000 0.0000 0.0000  4 Ce 3.19, 4 Pr 3.19
Ce1 0.7500 0.7500 0.7500  4 Hg 3.19, 4 Ir 3.19

Values from the calculation:
Energy above the most stable polymorph in this dataset: 125 meV/atom
Final energy: -5.3899 eV per atom
Magnetic moment: 0.81 Bohr magnetons per cell
E_form: -0.42 eV per atom


# 2
CePuHgIr | GGA-PBE | optimized geometry

Unit cell a=5.1061 b=5.1061 c=5.1061 alpha=60.00 beta=60.00 gamma=60.00
With the nearest neighbours (Å) after each atom.
Sites, in units of the cell vectors:
Ir1 0.0000 0.0000 0.0000  4 Pu 3.13, 4 Ce 3.13
Hg1 0.5000 0.5000 0.5000  4 Ce 3.13, 4 Pu 3.13
Ce1 0.7500 0.7500 0.7500  4 Hg 3.13, 4 Ir 3.13
Pu1 0.2500 0.2500 0.2500  4 Hg 3.13, 4 Ir 3.13

Values from the calculation:
Energy above the most stable polymorph in this dataset: 116 meV/atom
Final energy: -7.6640 eV per atom
Magnetic moment: 5.94 Bohr magnetons per cell
E_form: -0.31 eV per atom


# 3
CePuHgIr | GGA-PBE | optimized geometry

Unit cell a=3.4856 b=3.4856 c=7.9131 alpha=90.00 beta=90.00 gamma=90.00
With the nearest neighbours (Å) after each atom.
Sites, in units of the cell vectors:
Ce1 0.5000 0.5000 0.7791  4 Ir 2.96
Pu1 0.5000 0.5000 0.3594  4 Ir 2.99, 1 Ce 3.32, 4 Hg 3.34
Hg1 0.0000 0.0000 0.0737  4 Pu 3.34, 4 Ce 3.39, 4 Hg 3.49
Ir1 0.0000 0.0000 0.5725  4 Ce 2.96, 4 Pu 2.99

Values from the calculation:
Energy above the most stable polymorph in this dataset: 0 meV/atom
Final energy: -7.7796 eV per atom
Magnetic moment: 6.07 Bohr magnetons per cell
E_form: -0.42 eV per atom


# 4
SrCeHgIr | GGA-PBE | optimized geometry

Unit cell a=5.2260 b=5.2260 c=5.2260 alpha=60.00 beta=60.00 gamma=60.00
With the nearest neighbours (Å) after each atom.
Sites, in units of the cell vectors:
Sr1 0.7500 0.7500 0.7500  4 Ir 3.20, 4 Hg 3.20
Ir1 0.0000 0.0000 0.0000  4 Ce 3.20, 4 Sr 3.20
Hg1 0.5000 0.5000 0.5000  4 Sr 3.20, 4 Ce 3.20
Ce1 0.2500 0.2500 0.2500  4 Hg 3.20, 4 Ir 3.20

Values from the calculation:
Final energy: -4.4796 eV per atom
Magnetic moment: 0.61 Bohr magnetons per cell
E_form: -0.28 eV per atom


# 5
CeThHgIr | GGA-PBE | optimized geometry

Unit cell a=4.1541 b=4.1547 c=8.0662 alpha=90.00 beta=104.91 gamma=120.00
With the nearest neighbours (Å) after each atom.
Sites, in units of the cell vectors:
Ce1 0.1038 0.9499 0.0690  3 Ir 2.86
Th1 0.5047 0.1503 0.6701  3 Ir 2.83
Hg1 0.9674 0.3817 0.3644  3 Ce 3.31, 3 Th 3.36
Ir1 0.3019 0.5489 0.8661  3 Th 2.83, 3 Ce 2.86

Values from the calculation:
Final energy: -6.1887 eV per atom
Magnetic moment: 0.66 Bohr magnetons per cell
E_form: -0.56 eV per atom


# 6
Ce2TlHgIr | GGA-PBE | optimized geometry

Unit cell a=4.1010 b=8.3017 c=8.2933 alpha=111.27 beta=90.00 gamma=90.00
With the nearest neighbours (Å) after each atom.
Sites, in units of the cell vectors:
Ce1 0.7500 0.8881 0.6642  2 Ir 2.82
Ce2 0.7500 0.7126 0.0027  3 Ir 2.82-3.12
Ce3 0.2500 0.1119 0.3358  2 Ir 2.82
Ce4 0.2500 0.2874 0.9973  3 Ir 2.82-3.12
Tl1 0.2500 0.7090 0.3162  2 Hg 3.05, 5 Ce 3.29-3.41
Tl2 0.7500 0.2910 0.6838  2 Hg 3.05, 5 Ce 3.29-3.41
Hg1 0.2500 0.5499 0.6511  1 Ir 2.80, 2 Tl 3.05, 2 Hg 3.11
Hg2 0.7500 0.4501 0.3489  1 Ir 2.80, 2 Tl 3.05, 2 Hg 3.11
Ir1 0.2500 0.8871 0.8976  1 Hg 2.80, 5 Ce 2.82-3.12, 2 Ir 2.88
Ir2 0.7500 0.1129 0.1024  1 Hg 2.80, 5 Ce 2.82-3.12, 2 Ir 2.88

Values from the calculation:
Final energy: -5.1117 eV per atom
Magnetic moment: 2.65 Bohr magnetons per cell
E_form: -0.43 eV per atom


# 7
KCeHg | GGA-PBE | optimized geometry

Unit cell a=3.7227 b=3.7183 c=18.0636 alpha=90.00 beta=90.00 gamma=120.04
With the nearest neighbours (Å) after each atom.
Sites, in units of the cell vectors:
Hg1 0.6108 0.2217 0.0000  6 K 3.57-3.58, 6 Hg 3.72
Hg2 0.2787 0.5575 0.5000  6 Ce 3.26
Ce1 0.6123 0.2246 0.3641  3 Hg 3.26
Ce2 0.6123 0.2246 0.6359  3 Hg 3.26
K1 0.2762 0.5525 0.8420  3 Hg 3.57-3.58, 6 K 3.72
K2 0.2762 0.5525 0.1580  3 Hg 3.57-3.58, 6 K 3.72

Values from the calculation:
Final energy: -2.3159 eV per atom
Magnetic moment: 3.30 Bohr magnetons per cell
E_form: 0.13 eV per atom


# 8
KCe2Hg3 | GGA-PBE | optimized geometry

Unit cell a=3.8328 b=3.8328 c=12.4993 alpha=90.00 beta=90.00 gamma=90.00
With the nearest neighbours (Å) after each atom.
Sites, in units of the cell vectors:
K1 0.5000 0.5000 0.5000  8 Hg 3.69, 4 K 3.83
Ce1 0.5000 0.5000 0.8449  8 Hg 3.25-3.33
Ce2 0.5000 0.5000 0.1551  8 Hg 3.25-3.33
Hg1 0.0000 0.0000 0.0000  8 Ce 3.33
Hg2 0.0000 0.0000 0.7008  4 Ce 3.25
Hg3 0.0000 0.0000 0.2992  4 Ce 3.25

Values from the calculation:
Final energy: -2.5588 eV per atom
Magnetic moment: 2.23 Bohr magnetons per cell
E_form: -0.25 eV per atom